[1]
DFT (PBE-GGA) results for crystalline LiFeIrPb at its relaxed geometry.

Output
- E above lowest polymorph: 0 meV/atom

a = 4.4321 Å, b = 4.4321 Å, c = 4.4321 Å
α = 60.00°, β = 60.00°, γ = 60.00°
With the nearest neighbours (Å) after each atom.
Fractional coordinates of all 4 atoms:
Li 0.0000 0.0000 0.0000  4 Pb 2.71, 4 Ir 2.71
Fe 0.5000 0.5000 0.5000  4 Pb 2.71, 4 Ir 2.71
Ir 0.7500 0.7500 0.7500  4 Fe 2.71, 4 Li 2.71
Pb 0.2500 0.2500 0.2500  4 Fe 2.71, 4 Li 2.71



[2]
DFT (PBE-GGA) results for crystalline LaAg2SnO at its relaxed geometry.

Output
- Calculated total energy: -4.749 eV/atom

a = 8.1384 Å, b = 8.1384 Å, c = 8.1384 Å
α = 153.61°, β = 153.61°, γ = 37.67°
With the nearest neighbours (Å) after each atom.
Fractional coordinates of all 5 atoms:
La 0.0000 0.0000 0.0000  4 O 2.63
Ag 0.1870 0.6870 0.5000  4 Ag 2.63
Ag 0.6870 0.1870 0.5000  4 Ag 2.63
Sn 0.3448 0.3448 0.0000  1 O 2.36
O 0.4981 0.4981 0.0000  1 Sn 2.36, 4 La 2.63



[3]
DFT (PBE-GGA) results for crystalline ScFeSnOs at its relaxed geometry.

Output
- E above lowest polymorph: 0 meV/atom

a = 4.4919 Å, b = 4.4919 Å, c = 4.4919 Å
α = 60.00°, β = 60.00°, γ = 60.00°
With the nearest neighbours (Å) after each atom.
Fractional coordinates of all 4 atoms:
Sc 0.0000 0.0000 0.0000  4 Fe 2.75, 4 Os 2.75
Fe 0.7500 0.7500 0.7500  4 Sn 2.75, 4 Sc 2.75
Sn 0.5000 0.5000 0.5000  4 Fe 2.75, 4 Os 2.75
Os 0.2500 0.2500 0.2500  4 Sn 2.75, 4 Sc 2.75



[4]
DFT (PBE-GGA) results for crystalline ErTlAsO at its relaxed geometry.

Output
- E above lowest polymorph: 939 meV/atom

a = 4.6231 Å, b = 4.6231 Å, c = 8.4008 Å
α = 90.00°, β = 90.00°, γ = 90.00°
With the nearest neighbours (Å) after each atom.
Fractional coordinates of all 8 atoms:
Er 0.2500 0.7500 0.0000  4 As 2.78
Er 0.7500 0.2500 0.0000  4 As 2.78
Tl 0.2500 0.2500 0.3991  4 O 2.46
Tl 0.7500 0.7500 0.6009  4 O 2.46
As 0.2500 0.2500 0.8164  4 Er 2.78
As 0.7500 0.7500 0.1836  4 Er 2.78
O 0.2500 0.7500 0.5000  4 Tl 2.46
O 0.7500 0.2500 0.5000  4 Tl 2.46



[5]
DFT (PBE-GGA) results for crystalline Gd3InSn2PdPt2 at its relaxed geometry.

Output
- Calculated total energy: -5.688 eV/atom

a = 3.9089 Å, b = 7.7012 Å, c = 7.7012 Å
α = 120.23°, β = 90.00°, γ = 90.00°
With the nearest neighbours (Å) after each atom.
Fractional coordinates of all 9 atoms:
Gd 0.0000 0.0000 0.0000  4 Pt 3.04, 1 Pd 3.11, 2 In 3.20, 4 Sn 3.40
Gd 0.0000 0.4142 0.8218  4 Pt 3.03-3.05, 1 Pd 3.17, 4 Sn 3.22-3.37, 2 In 3.37
Gd 0.0000 0.8218 0.4142  4 Pt 3.03-3.05, 1 Pd 3.17, 4 Sn 3.22-3.37, 2 In 3.37
In 0.5000 0.6707 0.6707  2 Pd 2.82, 2 Pt 2.90
Sn 0.5000 0.1542 0.4135  2 Pd 2.77, 2 Pt 2.89
Sn 0.5000 0.4135 0.1542  2 Pd 2.77, 2 Pt 2.89
Pd 0.0000 0.4058 0.4058  4 Sn 2.77, 2 In 2.82
Pt 0.5000 0.0797 0.7456  2 Sn 2.89, 1 In 2.90, 6 Gd 3.03-3.05
Pt 0.5000 0.7456 0.0797  2 Sn 2.89, 1 In 2.90, 6 Gd 3.03-3.05



[6]
DFT (PBE-GGA) results for crystalline La2Dy2O5 at its relaxed geometry.

Output
- E above lowest polymorph: 0 meV/atom

a = 4.3500 Å, b = 4.3500 Å, c = 7.8141 Å
α = 90.00°, β = 90.00°, γ = 90.00°
With the nearest neighbours (Å) after each atom.
Fractional coordinates of all 9 atoms:
La 0.0000 0.0000 0.0000  8 O 2.88
La 0.0000 0.0000 0.5000  12 O 2.97-3.08
Dy 0.5000 0.5000 0.2312  5 O 2.10-2.18
Dy 0.5000 0.5000 0.7688  5 O 2.10-2.18
O 0.0000 0.5000 0.2417  2 Dy 2.18
O 0.0000 0.5000 0.7583  2 Dy 2.18
O 0.5000 0.0000 0.2417  2 Dy 2.18
O 0.5000 0.0000 0.7583  2 Dy 2.18
O 0.5000 0.5000 0.5000  2 Dy 2.10



[7]
DFT (PBE-GGA) results for crystalline Gd2ErO4 at its relaxed geometry.

Output
- Calculated total energy: -8.029 eV/atom

a = 6.7823 Å, b = 6.7823 Å, c = 6.7823 Å
α = 60.00°, β = 60.00°, γ = 60.00°
With the nearest neighbours (Å) after each atom.
Fractional coordinates of all 14 atoms:
Gd 0.0000 0.0000 0.0000  6 O 2.36
Gd 0.0000 0.0000 0.5000  6 O 2.36
Gd 0.0000 0.5000 0.0000  6 O 2.36
Gd 0.5000 0.0000 0.0000  6 O 2.36
Er 0.3750 0.3750 0.3750  4 O 2.14
Er 0.6250 0.6250 0.6250  4 O 2.14
O 0.2377 0.7541 0.7541  1 Er 2.14, 3 Gd 2.36
O 0.2459 0.2459 0.2459  1 Er 2.14, 3 Gd 2.36
O 0.2459 0.2459 0.7623  1 Er 2.14, 3 Gd 2.36
O 0.2459 0.7623 0.2459  1 Er 2.14, 3 Gd 2.36
O 0.7541 0.2377 0.7541  1 Er 2.14, 3 Gd 2.36
O 0.7541 0.7541 0.2377  1 Er 2.14, 3 Gd 2.36
O 0.7541 0.7541 0.7541  1 Er 2.14, 3 Gd 2.36
O 0.7623 0.2459 0.2459  1 Er 2.14, 3 Gd 2.36



[8]
DFT (PBE-GGA) results for crystalline Hf2CoSn at its relaxed geometry.

Output
- Calculated total energy: -7.600 eV/atom

a = 4.7167 Å, b = 4.7167 Å, c = 4.7167 Å
α = 60.00°, β = 60.00°, γ = 60.00°
With the nearest neighbours (Å) after each atom.
Fractional coordinates of all 4 atoms:
Hf 0.0000 0.0000 0.0000  4 Hf 2.89, 4 Co 2.89
Hf 0.2500 0.2500 0.2500  4 Sn 2.89, 4 Hf 2.89
Co 0.7500 0.7500 0.7500  4 Sn 2.89, 4 Hf 2.89
Sn 0.5000 0.5000 0.5000  4 Co 2.89, 4 Hf 2.89



[9]
DFT (PBE-GGA) results for crystalline TmZrAu4 at its relaxed geometry.

Output
- ΔE_f: -4.42 eV/f.u.

a = 3.6335 Å, b = 3.6335 Å, c = 8.9036 Å
α = 90.00°, β = 90.00°, γ = 90.00°
With the nearest neighbours (Å) after each atom.
Fractional coordinates of all 6 atoms:
Tm 0.0000 0.0000 0.0000  10 Au 2.98-3.00
Zr 0.5000 0.5000 0.5000  10 Au 2.94-2.95
Au 0.0000 0.0000 0.3372  5 Au 2.90-2.97, 4 Zr 2.95, 1 Tm 3.00
Au 0.0000 0.0000 0.6628  5 Au 2.90-2.97, 4 Zr 2.95, 1 Tm 3.00
Au 0.5000 0.5000 0.1693  1 Zr 2.94, 5 Au 2.97-3.02, 4 Tm 2.98
Au 0.5000 0.5000 0.8307  1 Zr 2.94, 5 Au 2.97-3.02, 4 Tm 2.98



[10]
DFT (PBE-GGA) results for crystalline Na2Mg2Hg3 at its relaxed geometry.

Output
- Calculated total energy: -1.100 eV/atom

a = 8.5948 Å, b = 8.5948 Å, c = 8.5948 Å
α = 33.86°, β = 33.86°, γ = 33.86°
With the nearest neighbours (Å) after each atom.
Fractional coordinates of all 7 atoms:
Na 0.0000 0.0000 0.0000  7 Hg 3.02-3.20
Na 0.4907 0.4907 0.4907  5 Hg 2.95-3.08
Mg 0.2446 0.2446 0.2446  7 Hg 3.03-3.07
Mg 0.7442 0.7442 0.7442  5 Hg 3.01-3.08
Hg 0.3694 0.3694 0.3694  4 Na 2.95-3.02, 4 Mg 3.03-3.06
Hg 0.6173 0.6173 0.6173  4 Mg 3.04-3.08, 4 Na 3.08-3.13
Hg 0.8682 0.8682 0.8682  4 Mg 3.01-3.07, 4 Na 3.08-3.20



[11]
DFT (PBE-GGA) results for crystalline CsZnGa at its relaxed geometry.

Output
- E above lowest polymorph: 0 meV/atom

a = 5.5033 Å, b = 5.5033 Å, c = 5.5033 Å
α = 60.00°, β = 60.00°, γ = 60.00°
With the nearest neighbours (Å) after each atom.
Fractional coordinates of all 3 atoms:
Cs 0.0000 0.0000 0.0000  4 Ga 3.37
Zn 0.5000 0.5000 0.5000  4 Ga 3.37
Ga 0.2500 0.2500 0.2500  4 Zn 3.37, 4 Cs 3.37



[12]
DFT (PBE-GGA) results for crystalline BaReH9 at its relaxed geometry.

Output
- E above lowest polymorph: 0 meV/atom

a = 5.1737 Å, b = 5.1737 Å, c = 9.2097 Å
α = 90.00°, β = 90.00°, γ = 121.28°
With the nearest neighbours (Å) after each atom.
Fractional coordinates of all 22 atoms:
Ba 0.0000 0.0000 0.0000  18 H 2.61-2.92
Ba 0.0000 0.0000 0.5000  18 H 2.61-2.92
Re 0.3233 0.6767 0.7500  9 H 1.68-1.71
Re 0.6767 0.3233 0.2500  9 H 1.68-1.71
H 0.0063 0.4996 0.6435  1 Re 1.71, 1 H 1.90
H 0.0063 0.4996 0.8565  1 Re 1.71, 1 H 1.90
H 0.1374 0.8626 0.7500  1 Re 1.68
H 0.2388 0.3098 0.7500  1 Re 1.71
H 0.3098 0.2388 0.2500  1 Re 1.71
H 0.4049 0.5951 0.5844  1 Re 1.69
H 0.4049 0.5951 0.9156  1 Re 1.69
H 0.4996 0.0063 0.1435  1 Re 1.71, 1 H 1.90
H 0.4996 0.0063 0.3565  1 Re 1.71, 1 H 1.90
H 0.5004 0.9937 0.6435  1 Re 1.71, 1 H 1.90
H 0.5004 0.9937 0.8565  1 Re 1.71, 1 H 1.90
H 0.5951 0.4049 0.0844  1 Re 1.69
H 0.5951 0.4049 0.4156  1 Re 1.69
H 0.6902 0.7612 0.7500  1 Re 1.71
H 0.7612 0.6902 0.2500  1 Re 1.71
H 0.8626 0.1374 0.2500  1 Re 1.68
H 0.9937 0.5004 0.1435  1 Re 1.71, 1 H 1.90
H 0.9937 0.5004 0.3565  1 Re 1.71, 1 H 1.90



[13]
DFT (PBE-GGA) results for crystalline DyW at its relaxed geometry.

Output
- E above lowest polymorph: 926 meV/atom
- ΔE_f: 3.51 eV/f.u.

a = 4.0923 Å, b = 4.0923 Å, c = 4.0923 Å
α = 60.00°, β = 60.00°, γ = 60.00°
With the nearest neighbours (Å) after each atom.
Fractional coordinates of all 2 atoms:
Dy 0.0000 0.0000 0.0000  6 W 2.89
W 0.5000 0.5000 0.5000  6 Dy 2.89



[14]
DFT (PBE-GGA) results for crystalline KNb3Bi5 at its relaxed geometry.

Output
- Calculated total energy: -5.842 eV/atom

a = 5.8863 Å, b = 5.8863 Å, c = 9.2448 Å
α = 90.00°, β = 90.00°, γ = 120.00°
With the nearest neighbours (Å) after each atom.
Fractional coordinates of all 9 atoms:
K 0.0000 0.0000 0.0000  12 Bi 4.00
Nb 0.0000 0.5000 0.5000  4 Nb 2.94, 6 Bi 2.94-3.03
Nb 0.5000 0.0000 0.5000  4 Nb 2.94, 6 Bi 2.94-3.03
Nb 0.5000 0.5000 0.5000  4 Nb 2.94, 6 Bi 2.94-3.03
Bi 0.0000 0.0000 0.5000  6 Nb 2.94
Bi 0.3333 0.6667 0.2292  3 Nb 3.03
Bi 0.3333 0.6667 0.7708  3 Nb 3.03
Bi 0.6667 0.3333 0.2292  3 Nb 3.03
Bi 0.6667 0.3333 0.7708  3 Nb 3.03



[15]
DFT (PBE-GGA) results for crystalline TaFeHgSb at its relaxed geometry.

Output
- E above lowest polymorph: 143 meV/atom

a = 4.7115 Å, b = 4.7115 Å, c = 4.7115 Å
α = 60.00°, β = 60.00°, γ = 60.00°
With the nearest neighbours (Å) after each atom.
Fractional coordinates of all 4 atoms:
Ta 0.0000 0.0000 0.0000  4 Hg 2.89, 4 Fe 2.89
Fe 0.7500 0.7500 0.7500  4 Ta 2.89, 4 Sb 2.89
Hg 0.2500 0.2500 0.2500  4 Ta 2.89, 4 Sb 2.89
Sb 0.5000 0.5000 0.5000  4 Hg 2.89, 4 Fe 2.89



[16]
DFT (PBE-GGA) results for crystalline Ga2Sn2Pd at its relaxed geometry.

Output
- Calculated total energy: -3.856 eV/atom

a = 8.3382 Å, b = 8.3382 Å, c = 8.3382 Å
α = 154.77°, β = 154.77°, γ = 35.98°
With the nearest neighbours (Å) after each atom.
Fractional coordinates of all 5 atoms:
Ga 0.2500 0.7500 0.5000  4 Ga 2.58
Ga 0.7500 0.2500 0.5000  4 Ga 2.58
Sn 0.0944 0.0944 0.0000  4 Pd 2.98, 1 Sn 2.99, 4 Ga 3.07
Sn 0.9056 0.9056 0.0000  4 Pd 2.98, 1 Sn 2.99, 4 Ga 3.07
Pd 0.5000 0.5000 0.0000  8 Sn 2.98



[17]
DFT (PBE-GGA) results for crystalline LuCuSiMo at its relaxed geometry.

Output
- E above lowest polymorph: 0 meV/atom

a = 4.4791 Å, b = 4.4791 Å, c = 4.4791 Å
α = 60.00°, β = 60.00°, γ = 60.00°
With the nearest neighbours (Å) after each atom.
Fractional coordinates of all 4 atoms:
Lu 0.0000 0.0000 0.0000  4 Mo 2.74, 4 Cu 2.74
Cu 0.7500 0.7500 0.7500  4 Si 2.74, 4 Lu 2.74
Si 0.5000 0.5000 0.5000  4 Cu 2.74, 4 Mo 2.74
Mo 0.2500 0.2500 0.2500  4 Si 2.74, 4 Lu 2.74



[18]
DFT (PBE-GGA) results for crystalline PtAuNO at its relaxed geometry.

Output
- E above lowest polymorph: 711 meV/atom

a = 4.1748 Å, b = 4.1748 Å, c = 5.6751 Å
α = 90.00°, β = 90.00°, γ = 90.00°
With the nearest neighbours (Å) after each atom.
Fractional coordinates of all 8 atoms:
Pt 0.2500 0.2500 0.0495  1 N 2.05, 4 O 2.11
Pt 0.7500 0.7500 0.9505  1 N 2.05, 4 O 2.11
Au 0.2500 0.7500 0.5000  4 N 2.34
Au 0.7500 0.2500 0.5000  4 N 2.34
N 0.2500 0.2500 0.6880  1 Pt 2.05
N 0.7500 0.7500 0.3120  1 Pt 2.05
O 0.2500 0.7500 0.0000  4 Pt 2.11
O 0.7500 0.2500 0.0000  4 Pt 2.11



[19]
DFT (PBE-GGA) results for crystalline TmBeTe at its relaxed geometry.

Output
- E above lowest polymorph: 0 meV/atom

a = 4.8523 Å, b = 4.8523 Å, c = 4.8523 Å
α = 60.00°, β = 60.00°, γ = 60.00°
With the nearest neighbours (Å) after each atom.
Fractional coordinates of all 3 atoms:
Tm 0.0000 0.0000 0.0000  4 Be 2.97, 4 Te 2.97
Be 0.7500 0.7500 0.7500  4 Tm 2.97
Te 0.2500 0.2500 0.2500  4 Tm 2.97



[20]
DFT (PBE-GGA) results for crystalline Ta2AlSbIr2 at its relaxed geometry.

Output
- Calculated total energy: -8.818 eV/atom

a = 7.5201 Å, b = 7.5201 Å, c = 7.5201 Å
α = 131.81°, β = 131.81°, γ = 70.54°
With the nearest neighbours (Å) after each atom.
Fractional coordinates of all 12 atoms:
Ta 0.2450 0.2450 0.0000  4 Ir 2.60-2.72
Ta 0.5050 0.0050 0.5000  4 Ir 2.60-2.72
Ta 0.7550 0.7550 0.0000  4 Ir 2.60-2.72
Ta 0.9950 0.4950 0.5000  4 Ir 2.60-2.72
Al 0.0000 0.0000 0.0000  4 Ir 2.63
Al 0.7500 0.2500 0.5000  4 Ir 2.63
Sb 0.2500 0.7500 0.5000  4 Ir 2.69
Sb 0.5000 0.5000 0.0000  4 Ir 2.69
Ir 0.1173 0.6250 0.9923  4 Ta 2.60-2.72, 2 Al 2.63, 2 Sb 2.69
Ir 0.3750 0.3673 0.4923  4 Ta 2.60-2.72, 2 Al 2.63, 2 Sb 2.69
Ir 0.6327 0.1250 0.0077  4 Ta 2.60-2.72, 2 Al 2.63, 2 Sb 2.69
Ir 0.8750 0.8827 0.5077  4 Ta 2.60-2.72, 2 Al 2.63, 2 Sb 2.69